{
  "formula": "CrTe2O2",
  "functional": "GGA+U",
  "state": "optimized geometry",
  "cell": [[3.719, 0.000, 0.000], [0.000, 3.719, 0.000], [1.860, 1.860, 6.177]],
  "species": ["Cr", "Te", "Te", "O", "O"],
  "frac_coords": [[0.000, 0.000, 0.000], [0.366, 0.366, 0.268], [0.634, 0.634, 0.732], [0.750, 0.250, 0.500], [0.250, 0.750, 0.500]],
  "magmom_total_mub_per_cell": 4.2,
  "de_polymorph_ev_per_atom": 0.381
}